(1)
## Zr2Be (GGA-PBE)

Data for Zr2Be after structural relaxation.

Properties
Its energy is -6.9275 eV/atom. The value obtained for the size of the total moment is 0.02 μB/cell.

Geometry as POSCAR:
```
Zr2Be
1.0
-8.6109 1.1468 -12.1243
-1.6061 -2.5907 0.8956
-3.0031 2.6869 2.3870
Be Zr
4 8
Direct
0.7880 0.5000 0.0000
0.6565 0.5000 0.5000
0.2880 0.0000 0.0000
0.1564 0.0000 0.5000
0.0070 0.5000 0.5000
0.5070 0.0000 0.5000
0.4375 0.5000 0.0000
0.6444 0.0000 0.0000
0.3000 0.5000 0.5000
0.1443 0.5000 0.0000
0.9374 0.0000 0.0000
0.8001 0.0000 0.5000
```

=====

(2)
## Zr2Be (GGA-PBE)

Data for Zr2Be after structural relaxation.

Properties
Its energy is -6.9471 eV/atom. The value obtained for the size of the total moment is 0.01 μB/cell.

Geometry as POSCAR:
```
Zr2Be
1.0
4.5107 0.0000 0.0000
0.0000 10.9232 0.0000
0.0000 0.0000 4.5125
Zr Be
8 4
Direct
0.4172 0.8511 0.0000
0.4161 0.3511 0.5000
0.9172 0.3511 0.0000
0.9172 0.6489 0.0000
0.9161 0.8511 0.5000
0.9161 0.1489 0.5000
0.4172 0.1489 0.0000
0.4161 0.6489 0.5000
0.9177 0.0000 0.0000
0.9156 0.5000 0.5000
0.4177 0.5000 0.0000
0.4156 0.0000 0.5000
```

=====

(3)
## Er2BiBrCl (GGA-PBE)

Data for Er2BiBrCl after structural relaxation.

Properties
Its energy is -4.6808 eV/atom. The value obtained for the size of the total moment is 0.00 μB/cell.

Geometry as POSCAR:
```
Er2BiBrCl
1.0
-3.2833 -1.9114 -1.7838
3.8801 -1.4723 -0.6266
-1.0060 -6.3220 8.6260
Er Bi Cl Br
2 1 1 1
Direct
0.6667 0.3333 0.8357
0.3333 0.6667 0.1720
0.0000 0.0000 0.0040
0.6667 0.3333 0.3102
0.3333 0.6667 0.6781
```

=====

(4)
## DyBiBr6 (GGA-PBE)

Data for DyBiBr6 after structural relaxation.

Properties
Its energy is -3.6448 eV/atom. The value obtained for the size of the total moment is 0.00 μB/cell.

Geometry as POSCAR:
```
DyBiBr6
1.0
3.6095 -6.2623 0.0000
3.6095 6.2623 0.0000
-2.4875 0.0000 6.6186
Br Dy Bi
6 1 1
Direct
0.7608 0.7695 0.7552
0.4248 0.0676 0.7542
0.9324 0.5752 0.2458
0.0592 0.4077 0.7545
0.2305 0.2392 0.2448
0.5923 0.9408 0.2455
0.8337 0.1663 0.0000
0.1663 0.8337 0.0000
```

=====

(5)
## Er2BiIBr (GGA-PBE)

Data for Er2BiIBr after structural relaxation.

Properties
Its energy is -4.4431 eV/atom. The value obtained for the size of the total moment is 0.01 μB/cell.

Geometry as POSCAR:
```
Er2BiIBr
1.0
-2.3329 1.2472 -3.3704
1.4174 -4.0357 0.2489
-8.8514 -2.7947 5.0926
Er Bi I Br
2 1 1 1
Direct
0.3333 0.6667 0.1615
0.6667 0.3333 0.8290
0.0000 0.0000 0.9947
0.6667 0.3333 0.3424
0.3333 0.6667 0.6723
```

=====

(6)
## GdBiBr6 (GGA-PBE)

Data for GdBiBr6 after structural relaxation.

Properties
Its energy is -3.6517 eV/atom. The value obtained for the size of the total moment is 0.00 μB/cell.

Geometry as POSCAR:
```
GdBiBr6
1.0
3.6220 -6.2857 0.0000
3.6220 6.2857 0.0000
-2.4943 0.0000 6.6194
Gd Br Bi
1 6 1
Direct
0.8336 0.1664 0.0000
0.9336 0.5785 0.2465
0.5896 0.9391 0.2465
0.7614 0.7669 0.7543
0.2331 0.2386 0.2457
0.4215 0.0664 0.7535
0.0609 0.4104 0.7535
0.1663 0.8337 0.0000
```

=====

What did we get for density? Answer: 5.73, 5.72, 6.68, 4.72, 7.40, 4.66 Mg/m³, in the order shown.